[1]
# LaPd2Pb2 | the Alexandria database | PBE | relaxed
# Electronic total energy   -49.57 eV per cell
# Energy of formation from the pure elements   -0.411 eV/atom
# Calculated density   10.31 g/cm3
data_LaPd2Pb2
_chemical_formula_sum 'La2 Pd4 Pb4'
_symmetry_space_group_name_H-M 'P 1'
_symmetry_Int_Tables_number 1
_cell_length_a 7.4093
_cell_length_b 7.4093
_cell_length_c 4.4967
_cell_angle_alpha 90.00
_cell_angle_beta 90.00
_cell_angle_gamma 90.00
loop_
_symmetry_equiv_pos_as_xyz
'x,y,z'
loop_
_atom_site_label
_atom_site_fract_x
_atom_site_fract_y
_atom_site_fract_z
Pd1 0.6291 0.1291 0.0000
Pd2 0.3709 0.8709 0.0000
Pd3 0.1291 0.3709 0.0000
Pd4 0.8709 0.6291 0.0000
Pb1 0.3275 0.1725 0.5000
Pb2 0.6725 0.8275 0.5000
Pb3 0.8275 0.3275 0.5000
Pb4 0.1725 0.6725 0.5000
La1 0.5000 0.5000 0.0000
La2 0.0000 0.0000 0.0000

[2]
# LaPd6Pb4 | the Alexandria database | PBE | relaxed
# Electronic total energy   -54.32 eV per cell
# Energy of formation from the pure elements   -0.309 eV/atom
# Calculated density   10.67 g/cm3
data_LaPd6Pb4
_chemical_formula_sum 'La1 Pd6 Pb4'
_symmetry_space_group_name_H-M 'P 1'
_symmetry_Int_Tables_number 1
_cell_length_a 7.1568
_cell_length_b 7.1568
_cell_length_c 7.1568
_cell_angle_alpha 86.19
_cell_angle_beta 122.22
_cell_angle_gamma 122.22
loop_
_symmetry_equiv_pos_as_xyz
'x,y,z'
loop_
_atom_site_label
_atom_site_fract_x
_atom_site_fract_y
_atom_site_fract_z
Pd1 0.3339 0.5789 0.5789
Pd2 0.0000 0.7549 0.4211
Pd3 0.5000 0.5000 0.0000
Pd4 0.6661 0.2451 0.2451
Pd5 0.0000 0.4211 0.7549
Pd6 0.5000 0.0000 0.5000
Pb1 0.0000 0.1101 0.5251
Pb2 0.4150 0.8899 0.8899
Pb3 0.0000 0.5251 0.1101
Pb4 0.5850 0.4749 0.4749
La1 0.0000 0.0000 0.0000

[3]
# LaPd2Pb | the Alexandria database | PBE | relaxed
# Electronic total energy   -86.73 eV per cell
# Energy of formation from the pure elements   -0.665 eV/atom
# Calculated density   10.13 g/cm3
data_LaPd2Pb
_chemical_formula_sum 'La4 Pd8 Pb4'
_symmetry_space_group_name_H-M 'P 1'
_symmetry_Int_Tables_number 1
_cell_length_a 4.7245
_cell_length_b 7.4120
_cell_length_c 10.4627
_cell_angle_alpha 90.00
_cell_angle_beta 90.00
_cell_angle_gamma 90.00
loop_
_symmetry_equiv_pos_as_xyz
'x,y,z'
loop_
_atom_site_label
_atom_site_fract_x
_atom_site_fract_y
_atom_site_fract_z
Pd1 0.7500 0.7449 0.9536
Pd2 0.7500 0.5545 0.3863
Pd3 0.2500 0.7551 0.4536
Pd4 0.7500 0.0545 0.1137
Pd5 0.7500 0.2449 0.5464
Pd6 0.2500 0.9455 0.8863
Pd7 0.2500 0.2551 0.0464
Pd8 0.2500 0.4455 0.6137
La1 0.2500 0.7926 0.1599
La2 0.7500 0.2074 0.8401
La3 0.2500 0.2926 0.3401
La4 0.7500 0.7074 0.6599
Pb1 0.7500 0.4439 0.1260
Pb2 0.2500 0.0561 0.6260
Pb3 0.7500 0.9439 0.3740
Pb4 0.2500 0.5561 0.8740

[4]
# LaPd3Pb3 | the Alexandria database | PBE | relaxed
# Electronic total energy   -69.48 eV per cell
# Energy of formation from the pure elements   -0.444 eV/atom
# Calculated density   10.41 g/cm3
data_LaPd3Pb3
_chemical_formula_sum 'La2 Pd6 Pb6'
_symmetry_space_group_name_H-M 'P 1'
_symmetry_Int_Tables_number 1
_cell_length_a 4.8345
_cell_length_b 9.0699
_cell_length_c 9.0707
_cell_angle_alpha 119.95
_cell_angle_beta 90.00
_cell_angle_gamma 90.00
loop_
_symmetry_equiv_pos_as_xyz
'x,y,z'
loop_
_atom_site_label
_atom_site_fract_x
_atom_site_fract_y
_atom_site_fract_z
Pd1 0.7500 0.6047 0.5409
Pd2 0.2500 0.3953 0.4591
Pd3 0.7500 0.4581 0.0628
Pd4 0.2500 0.5419 0.9372
Pd5 0.7500 0.9366 0.3952
Pd6 0.2500 0.0634 0.6048
La1 0.7500 0.3339 0.6673
La2 0.2500 0.6661 0.3327
Pb1 0.7500 0.2784 0.2487
Pb2 0.2500 0.2480 0.9700
Pb3 0.7500 0.7520 0.0300
Pb4 0.2500 0.0300 0.2786
Pb5 0.2500 0.7216 0.7513
Pb6 0.7500 0.9700 0.7214

[5]
# LaPd2Pb | the Alexandria database | PBE | relaxed
# Electronic total energy   -40.37 eV per cell
# Energy of formation from the pure elements   -0.291 eV/atom
# Calculated density   8.78 g/cm3
data_LaPd2Pb
_chemical_formula_sum 'La2 Pd4 Pb2'
_symmetry_space_group_name_H-M 'P 1'
_symmetry_Int_Tables_number 1
_cell_length_a 4.8372
_cell_length_b 4.8372
_cell_length_c 9.6605
_cell_angle_alpha 75.50
_cell_angle_beta 75.50
_cell_angle_gamma 90.00
loop_
_symmetry_equiv_pos_as_xyz
'x,y,z'
loop_
_atom_site_label
_atom_site_fract_x
_atom_site_fract_y
_atom_site_fract_z
Pd1 0.3750 0.3084 0.7500
Pd2 0.8750 0.9416 0.7500
Pd3 0.0584 0.6250 0.2500
Pd4 0.6916 0.1250 0.2500
Pb1 0.7500 0.2500 0.5000
Pb2 0.0000 0.0000 0.0000
La1 0.2500 0.7500 0.5000
La2 0.5000 0.5000 0.0000

[6]
# La2Pd9Pb | the Alexandria database | PBE | relaxed
# Electronic total energy   -66.48 eV per cell
# Energy of formation from the pure elements   -0.515 eV/atom
# Calculated density   10.26 g/cm3
data_La2Pd9Pb
_chemical_formula_sum 'La2 Pd9 Pb1'
_symmetry_space_group_name_H-M 'P 1'
_symmetry_Int_Tables_number 1
_cell_length_a 5.4379
_cell_length_b 5.4379
_cell_length_c 9.6419
_cell_angle_alpha 73.62
_cell_angle_beta 73.62
_cell_angle_gamma 60.00
loop_
_symmetry_equiv_pos_as_xyz
'x,y,z'
loop_
_atom_site_label
_atom_site_fract_x
_atom_site_fract_y
_atom_site_fract_z
Pd1 0.5000 0.5000 0.5000
Pd2 0.6671 0.6671 0.9988
Pd3 0.5860 0.0825 0.7455
Pd4 0.9175 0.4140 0.2545
Pd5 0.4140 0.9175 0.2545
Pd6 0.4140 0.4140 0.2545
Pd7 0.3329 0.3329 0.0012
Pd8 0.0825 0.5860 0.7455
Pd9 0.5860 0.5860 0.7455
La1 0.8653 0.8653 0.4040
La2 0.1347 0.1347 0.5960
Pb1 0.0000 0.0000 0.0000

[7]
# La2Pd5Pb3 | the Alexandria database | PBE | relaxed
# Electronic total energy   -104.23 eV per cell
# Energy of formation from the pure elements   -0.517 eV/atom
# Calculated density   10.14 g/cm3
data_La2Pd5Pb3
_chemical_formula_sum 'La4 Pd10 Pb6'
_symmetry_space_group_name_H-M 'P 1'
_symmetry_Int_Tables_number 1
_cell_length_a 6.3109
_cell_length_b 9.1789
_cell_length_c 9.1789
_cell_angle_alpha 81.81
_cell_angle_beta 69.89
_cell_angle_gamma 69.89
loop_
_symmetry_equiv_pos_as_xyz
'x,y,z'
loop_
_atom_site_label
_atom_site_fract_x
_atom_site_fract_y
_atom_site_fract_z
La1 0.8762 0.3933 0.8543
La2 0.3762 0.8543 0.3933
La3 0.1238 0.6067 0.1457
La4 0.6238 0.1457 0.6067
Pd1 0.2500 0.5000 0.5000
Pd2 0.0270 0.2230 0.2230
Pd3 0.5270 0.2230 0.2230
Pd4 0.8856 0.9520 0.2768
Pd5 0.9730 0.7770 0.7770
Pd6 0.6144 0.7232 0.0480
Pd7 0.3856 0.2768 0.9520
Pd8 0.4730 0.7770 0.7770
Pd9 0.1144 0.0480 0.7232
Pd10 0.7500 0.5000 0.5000
Pb1 0.3599 0.5235 0.7567
Pb2 0.2500 0.0000 0.0000
Pb3 0.7500 0.0000 0.0000
Pb4 0.8599 0.7567 0.5235
Pb5 0.1401 0.2433 0.4765
Pb6 0.6401 0.4765 0.2433

[8]
# LaPd12Pb3 | the Alexandria database | PBE | relaxed
# Electronic total energy   -84.94 eV per cell
# Energy of formation from the pure elements   -0.411 eV/atom
# Calculated density   11.91 g/cm3
data_LaPd12Pb3
_chemical_formula_sum 'La1 Pd12 Pb3'
_symmetry_space_group_name_H-M 'P 1'
_symmetry_Int_Tables_number 1
_cell_length_a 4.1494
_cell_length_b 4.1494
_cell_length_c 16.4986
_cell_angle_alpha 90.00
_cell_angle_beta 90.00
_cell_angle_gamma 90.00
loop_
_symmetry_equiv_pos_as_xyz
'x,y,z'
loop_
_atom_site_label
_atom_site_fract_x
_atom_site_fract_y
_atom_site_fract_z
La1 0.0000 0.0000 0.0000
Pd1 0.0000 0.5000 0.6232
Pd2 0.0000 0.5000 0.1307
Pd3 0.0000 0.5000 0.3768
Pd4 0.5000 0.0000 0.3768
Pd5 0.5000 0.5000 0.5000
Pd6 0.0000 0.5000 0.8693
Pd7 0.5000 0.5000 0.0000
Pd8 0.5000 0.5000 0.2543
Pd9 0.5000 0.0000 0.6232
Pd10 0.5000 0.0000 0.8693
Pd11 0.5000 0.5000 0.7457
Pd12 0.5000 0.0000 0.1307
Pb1 0.0000 0.0000 0.7461
Pb2 0.0000 0.0000 0.2539
Pb3 0.0000 0.0000 0.5000

[9]
# La2Pd5Pb | the Alexandria database | PBE | relaxed
# Electronic total energy   -44.94 eV per cell
# Energy of formation from the pure elements   -0.677 eV/atom
# Calculated density   9.83 g/cm3
data_La2Pd5Pb
_chemical_formula_sum 'La2 Pd5 Pb1'
_symmetry_space_group_name_H-M 'P 1'
_symmetry_Int_Tables_number 1
_cell_length_a 6.4499
_cell_length_b 6.4499
_cell_length_c 6.1533
_cell_angle_alpha 121.61
_cell_angle_beta 121.61
_cell_angle_gamma 90.00
loop_
_symmetry_equiv_pos_as_xyz
'x,y,z'
loop_
_atom_site_label
_atom_site_fract_x
_atom_site_fract_y
_atom_site_fract_z
Pd1 0.2716 0.2716 0.9690
Pd2 0.6975 0.2716 0.9690
Pd3 0.6975 0.6975 0.9691
Pd4 0.2716 0.6974 0.9690
Pd5 0.7458 0.7458 0.4917
La1 0.7482 0.2482 0.4964
La2 0.2482 0.7482 0.4964
Pb1 0.0967 0.0967 0.1934

[10]
# LaPd3Pb3 | the Alexandria database | PBE | relaxed
# Electronic total energy   -63.27 eV per cell
# Energy of formation from the pure elements   0.000 eV/atom
# Calculated density   8.64 g/cm3
data_LaPd3Pb3
_chemical_formula_sum 'La2 Pd6 Pb6'
_symmetry_space_group_name_H-M 'P 1'
_symmetry_Int_Tables_number 1
_cell_length_a 7.4601
_cell_length_b 7.4601
_cell_length_c 7.4601
_cell_angle_alpha 90.00
_cell_angle_beta 90.00
_cell_angle_gamma 90.00
loop_
_symmetry_equiv_pos_as_xyz
'x,y,z'
loop_
_atom_site_label
_atom_site_fract_x
_atom_site_fract_y
_atom_site_fract_z
La1 0.0000 0.0000 0.0000
La2 0.5000 0.5000 0.5000
Pb1 0.5000 0.2500 0.0000
Pb2 0.5000 0.7500 0.0000
Pb3 0.0000 0.5000 0.2500
Pb4 0.0000 0.5000 0.7500
Pb5 0.7500 0.0000 0.5000
Pb6 0.2500 0.0000 0.5000
Pd1 0.7500 0.5000 0.0000
Pd2 0.2500 0.5000 0.0000
Pd3 0.5000 0.0000 0.2500
Pd4 0.5000 0.0000 0.7500
Pd5 0.0000 0.2500 0.5000
Pd6 0.0000 0.7500 0.5000